Computed, not measured: PmNd2Al2Zn2 after structural relaxation at the PBE level of DFT.

Values from the calculation:
Total DFT energy (no corrections) ... -3.78 eV/atom

Cell lengths 4.575, 4.575, 9.757 Å; angles 76.44, 76.44, 60.00 degrees
Atoms (fractional coordinates):
Pm1 0.000 0.000 0.000
Al1 0.734 0.734 0.797
Al2 0.266 0.266 0.203
Zn1 0.398 0.398 0.806
Zn2 0.602 0.602 0.194
Nd1 0.128 0.128 0.616
Nd2 0.872 0.872 0.384